1.
## Li4AlCd7 (PBE)

Data for an optimized crystal structure of Li4AlCd7.

Computed properties:
Polymorph energy (0 for the lowest one), kJ per mole of atoms: 9.26
Theoretical density, g/cm3: 5.56
Space-group type: C2/m, No. 12

Geometry as POSCAR:
```
Li4AlCd7
1.0
-4.828 1.058 -1.434
-2.431 -5.859 -5.373
-4.560 -5.288 2.213
Li Cd Al
4 7 1
Direct
0.561 0.302 0.576 Li
0.439 0.698 0.424 Li
0.678 0.635 0.009 Li
0.322 0.365 0.991 Li
0.227 0.752 0.793 Cd
0.773 0.248 0.207 Cd
0.082 0.568 0.268 Cd
0.918 0.432 0.732 Cd
0.500 0.000 0.000 Cd
0.814 0.856 0.517 Cd
0.186 0.144 0.483 Cd
0.000 0.000 0.000 Al
```

2.
## Li4AlCd (PBE)

Data for an optimized crystal structure of Li4AlCd.

Computed properties:
Polymorph energy (0 for the lowest one), kJ per mole of atoms: 8.65
Theoretical density, g/cm3: 2.48
Space-group type: C2/m, No. 12

Geometry as POSCAR:
```
Li4AlCd
1.0
-2.126 -1.548 -0.994
-0.175 -4.069 2.739
-6.282 2.754 5.170
Li Cd Al
4 1 1
Direct
0.343 0.481 0.834 Li
0.162 0.025 0.651 Li
0.838 0.975 0.349 Li
0.657 0.519 0.166 Li
0.000 0.000 0.000 Cd
0.500 0.500 0.500 Al
```

3.
## LiAl4Cd (PBE)

Data for an optimized crystal structure of LiAl4Cd.

Computed properties:
Theoretical density, g/cm3: 3.30
Space-group type: F-43m, No. 216

Geometry as POSCAR:
```
LiAl4Cd
1.0
0.000 3.851 3.851
3.851 0.000 3.851
3.851 3.851 0.000
Cd Li Al
1 1 4
Direct
0.750 0.750 0.750 Cd
0.000 0.000 0.000 Li
0.374 0.374 0.374 Al
0.877 0.374 0.374 Al
0.374 0.877 0.374 Al
0.374 0.374 0.877 Al
```

| no. | ΔE_f (kJ/mol of atoms) |
| --- | --- |
| 1 | -6.1 |
| 2 | -7.5 |
| 3 | 6.2 |